No. 1
Entry from Alexandria: PaB4Rh4 after structural relaxation (PBE).

Results
Energy of formation from the pure elements ... -0.539 eV/atom
Density of states at the Fermi level ... 0.4833 states/eV per atom

Lattice parameters (Å, degrees): 5.345 5.345 7.522 90.00 90.00 90.00
Fractional coordinates of all 18 atoms:
Rh: 0.000 0.252 0.352
B: 0.166 0.500 0.147
Rh: 0.752 0.500 0.852
Pa: 0.500 0.500 0.500
Rh: 0.500 0.752 0.148
B: 0.834 0.500 0.147
B: 0.500 0.166 0.853
B: 0.500 0.834 0.853
B: 0.000 0.334 0.647
Rh: 0.248 0.500 0.852
Rh: 0.252 0.000 0.648
Rh: 0.500 0.248 0.148
Pa: 0.000 0.000 0.000
B: 0.334 0.000 0.353
Rh: 0.000 0.748 0.352
Rh: 0.748 0.000 0.648
B: 0.666 0.000 0.353
B: 0.000 0.666 0.647


No. 2
Entry from Alexandria: Cs4TcSe4 after structural relaxation (PBE).

Results
Energy relative to the elements, uncorrected ... -0.757 eV per atom
Density of states at the Fermi level ... 0.5963 states/eV per atom

Lattice parameters (Å, degrees): 9.096 9.096 9.096 82.62 124.35 124.35
Site moments in Bohr magnetons follow the coordinates.
Fractional coordinates of all 9 atoms:
Se: 0.000 0.735 0.061  0.03
Cs: 0.500 0.000 0.500  0.00
Tc: 0.000 0.000 0.000  0.65
Se: 0.000 0.061 0.735  0.03
Cs: 0.500 0.500 0.000  0.00
Cs: 0.000 0.309 0.309  0.00
Se: 0.674 0.939 0.939  0.03
Se: 0.326 0.265 0.265  0.03
Cs: 0.000 0.691 0.691  0.00


No. 3
Entry from Alexandria: CaBeF2 after structural relaxation (PBE).

Results
Energy relative to the elements, uncorrected ... -2.222 eV per atom

Lattice parameters (Å, degrees): 5.237 5.237 5.237 43.70 43.70 43.70
Fractional coordinates of all 4 atoms:
Ca: 0.500 0.500 0.500
F: 0.114 0.114 0.114
Be: 0.000 0.000 0.000
F: 0.886 0.886 0.886


No. 4
Entry from Alexandria: BaIN after structural relaxation (PBE).

Results
Energy relative to the elements, uncorrected ... -0.347 eV per atom
Density of states at the Fermi level ... 0.5327 states/eV per atom

Lattice parameters (Å, degrees): 3.714 4.181 12.436 95.84 90.00 90.00
Fractional coordinates of all 6 atoms:
I: 0.250 0.511 0.319
Ba: 0.250 0.052 0.854
N: 0.250 0.561 0.013
Ba: 0.750 0.948 0.146
I: 0.750 0.489 0.681
N: 0.750 0.439 0.987


No. 5
Entry from Alexandria: KNbBPt2 after structural relaxation (PBE).

Results
Energy of formation from the pure elements ... 0.351 eV/atom
Density of states at the Fermi level ... 1.3927 states/eV per atom

Lattice parameters (Å, degrees): 4.394 4.462 4.394 90.00 90.00 90.00
Fractional coordinates of all 5 atoms:
Pt: 0.000 0.000 0.500
Pt: 0.500 0.000 0.000
B: 0.000 0.000 0.000
K: 0.500 0.500 0.500
Nb: 0.000 0.500 0.000


No. 6
Entry from Alexandria: YCdIn2Br after structural relaxation (PBE).

Results
Energy relative to the elements, uncorrected ... 0.405 eV per atom
Density of states at the Fermi level ... 1.2096 states/eV per atom

Lattice parameters (Å, degrees): 6.147 6.002 6.147 90.00 90.00 90.00
Site moments in Bohr magnetons follow the coordinates.
Fractional coordinates of all 5 atoms:
Br: 0.500 0.500 0.500  0.04
In: 0.000 0.000 0.500  0.14
Y: 0.000 0.000 0.000  0.42
Cd: 0.000 0.500 0.000  0.01
In: 0.500 0.000 0.000  0.13


No. 7
Entry from Alexandria: Ac3Te6Au2 after structural relaxation (PBE).

Results
Energy relative to the elements, uncorrected ... -0.982 eV per atom
Density of states at the Fermi level ... 0.3259 states/eV per atom

Lattice parameters (Å, degrees): 5.338 5.338 13.543 101.37 101.37 90.00
Fractional coordinates of all 11 atoms:
Te: 0.083 0.583 0.167
Te: 0.701 0.701 0.403
Ac: 0.174 0.174 0.347
Te: 0.417 0.917 0.833
Te: 0.917 0.417 0.833
Ac: 0.000 0.000 0.000
Ac: 0.826 0.826 0.653
Au: 0.444 0.444 0.887
Te: 0.299 0.299 0.597
Te: 0.583 0.083 0.167
Au: 0.556 0.556 0.113


No. 8
Entry from Alexandria: TlCrRe2 after structural relaxation (PBE).

Results
Energy of formation from the pure elements ... 0.962 eV/atom
Density of states at the Fermi level ... 1.0554 states/eV per atom

Lattice parameters (Å, degrees): 4.921 4.921 2.929 90.00 90.00 113.75
Site moments in Bohr magnetons follow the coordinates.
Fractional coordinates of all 4 atoms:
Re: 0.500 0.500 0.000  -0.26
Cr: 0.000 0.500 0.500  1.99
Tl: 0.500 0.000 0.500  -0.01
Re: 0.000 0.000 0.000  -0.26


No. 9
Entry from Alexandria: NaPuHg2 after structural relaxation (PBE).

Results
Energy of formation from the pure elements ... -0.157 eV/atom
Density of states at the Fermi level ... 1.8571 states/eV per atom

Lattice parameters (Å, degrees): 3.569 3.569 8.128 90.00 90.00 90.00
Site moments in Bohr magnetons follow the coordinates.
Fractional coordinates of all 4 atoms:
Na: 0.500 0.500 0.500  -0.01
Hg: 0.000 0.000 0.252  0.02
Hg: 0.000 0.000 0.748  0.02
Pu: 0.500 0.500 0.000  5.56


No. 10
Entry from Alexandria: Mn2CdPbBr8 after structural relaxation (PBE).

Results
Energy relative to the elements, uncorrected ... -0.773 eV per atom
Density of states at the Fermi level ... 0.0000 states/eV per atom

Lattice parameters (Å, degrees): 6.852 6.489 8.246 90.00 90.00 89.48
Site moments in Bohr magnetons follow the coordinates.
Fractional coordinates of all 12 atoms:
Br: 0.175 0.748 0.768  0.03
Mn: 0.500 0.500 0.242  4.40
Br: 0.346 0.274 0.000  0.06
Br: 0.175 0.748 0.232  0.03
Br: 0.355 0.287 0.500  0.05
Pb: 0.000 0.000 0.500  0.02
Cd: 0.000 0.000 0.000  0.02
Br: 0.825 0.252 0.768  0.03
Br: 0.654 0.726 0.000  0.06
Br: 0.645 0.713 0.500  0.05
Br: 0.825 0.252 0.232  0.03
Mn: 0.500 0.500 0.758  4.40


No. 11
Entry from Alexandria: B2O3 after structural relaxation (PBE).

Results
Energy relative to the elements, uncorrected ... -2.352 eV per atom
Density of states at the Fermi level ... 0.0000 states/eV per atom

Lattice parameters (Å, degrees): 4.581 4.581 4.172 90.00 90.00 118.66
Fractional coordinates of all 10 atoms:
O: 0.160 0.582 0.417
O: 0.260 0.260 0.004
B: 0.176 0.507 0.068
O: 0.740 0.740 0.504
O: 0.418 0.840 0.917
O: 0.582 0.160 0.417
B: 0.824 0.493 0.568
B: 0.493 0.824 0.568
B: 0.507 0.176 0.068
O: 0.840 0.418 0.917


No. 12
Entry from Alexandria: Ac3In5S12 after structural relaxation (PBE).

Results
Energy relative to the elements, uncorrected ... -1.197 eV per atom

Lattice parameters (Å, degrees): 14.047 14.047 14.047 109.47 109.47 109.47
Fractional coordinates of all 80 atoms:
S: 0.876 0.586 0.910
S: 0.790 0.466 0.376
S: 0.586 0.710 0.676
S: 0.290 0.414 0.824
S: 0.324 0.534 0.410
S: 0.034 0.624 0.710
S: 0.034 0.410 0.824
S: 0.824 0.910 0.034
In: 0.500 0.000 0.500
S: 0.210 0.676 0.086
In: 0.625 0.750 0.875
Ac: 0.750 0.875 0.625
S: 0.414 0.124 0.590
S: 0.124 0.710 0.534
In: 0.500 0.500 0.000
S: 0.376 0.410 0.086
In: 0.750 0.625 0.375
S: 0.466 0.676 0.090
S: 0.086 0.176 0.210
S: 0.676 0.210 0.586
In: 0.625 0.875 0.250
In: 0.500 0.500 0.500
S: 0.534 0.210 0.124
Ac: 0.625 0.250 0.375
S: 0.966 0.590 0.176
In: 0.125 0.375 0.250
Ac: 0.125 0.875 0.750
S: 0.086 0.910 0.376
Ac: 0.375 0.750 0.625
S: 0.410 0.376 0.586
S: 0.624 0.590 0.914
In: 0.375 0.250 0.125
S: 0.324 0.790 0.414
Ac: 0.750 0.375 0.125
S: 0.410 0.034 0.324
S: 0.910 0.824 0.534
S: 0.914 0.824 0.790
S: 0.090 0.176 0.466
S: 0.914 0.090 0.624
In: 0.000 0.500 0.000
S: 0.376 0.966 0.790
S: 0.624 0.034 0.210
S: 0.790 0.324 0.914
S: 0.090 0.914 0.124
S: 0.124 0.414 0.090
Ac: 0.625 0.375 0.750
S: 0.290 0.876 0.966
In: 0.000 0.000 0.500
In: 0.375 0.125 0.750
S: 0.676 0.466 0.590
Ac: 0.125 0.250 0.875
Ac: 0.375 0.625 0.250
S: 0.210 0.534 0.624
S: 0.590 0.624 0.414
S: 0.710 0.124 0.034
In: 0.750 0.125 0.875
Ac: 0.875 0.750 0.125
S: 0.176 0.086 0.710
In: 0.875 0.625 0.750
In: 0.125 0.750 0.375
S: 0.966 0.376 0.290
In: 0.250 0.875 0.125
S: 0.710 0.586 0.176
In: 0.000 0.000 0.000
In: 0.875 0.250 0.625
Ac: 0.250 0.125 0.375
S: 0.466 0.790 0.876
S: 0.910 0.086 0.876
S: 0.590 0.966 0.676
In: 0.000 0.500 0.500
S: 0.824 0.914 0.290
S: 0.176 0.090 0.966
Ac: 0.875 0.125 0.250
S: 0.534 0.324 0.910
In: 0.500 0.000 0.000
S: 0.414 0.290 0.324
S: 0.876 0.290 0.466
In: 0.250 0.375 0.625
Ac: 0.250 0.625 0.875
S: 0.586 0.876 0.410


No. 13
Entry from Alexandria: Ir2PtCl after structural relaxation (PBE).

Results
Energy relative to the elements, uncorrected ... 0.679 eV per atom
Density of states at the Fermi level ... 0.7880 states/eV per atom

Lattice parameters (Å, degrees): 5.678 5.678 5.678 151.93 131.33 57.12
Fractional coordinates of all 4 atoms:
Pt: 0.518 0.518 0.000
Cl: 0.235 0.735 0.500
Ir: 0.984 0.984 0.000
Ir: 0.762 0.262 0.500


No. 14
Entry from Alexandria: BaLi2Al2 after structural relaxation (PBE).

Results
Energy of formation from the pure elements ... -0.039 eV/atom
Density of states at the Fermi level ... 0.5664 states/eV per atom

Lattice parameters (Å, degrees): 4.444 4.444 7.311 89.98 89.98 114.85
Fractional coordinates of all 5 atoms:
Li: 0.500 0.500 0.323
Al: 0.172 0.828 0.500
Al: 0.828 0.172 0.500
Ba: 0.000 0.000 0.000
Li: 0.500 0.500 0.677


No. 15
Entry from Alexandria: Ac2Sm2Y5 after structural relaxation (PBE).

Results
Energy of formation from the pure elements ... 0.218 eV/atom
Density of states at the Fermi level ... 1.5460 states/eV per atom

Lattice parameters (Å, degrees): 3.632 12.969 8.399 59.15 90.00 98.05
Fractional coordinates of all 9 atoms:
Ac: 0.181 0.362 0.774
Y: 0.000 0.000 0.000
Y: 0.092 0.185 0.537
Ac: 0.819 0.638 0.226
Y: 0.908 0.815 0.463
Sm: 0.453 0.905 0.742
Sm: 0.547 0.095 0.258
Y: 0.690 0.380 0.152
Y: 0.310 0.620 0.848


No. 16
Entry from Alexandria: Rb3Sm5F12 after structural relaxation (PBE).

Results
Energy relative to the elements, uncorrected ... -3.017 eV per atom
Density of states at the Fermi level ... 0.3206 states/eV per atom

Lattice parameters (Å, degrees): 13.147 13.147 13.147 109.47 109.47 109.47
Fractional coordinates of all 80 atoms:
Rb: 0.375 0.750 0.625
F: 0.313 0.448 0.837
F: 0.187 0.523 0.635
Rb: 0.250 0.625 0.875
Sm: 0.000 0.000 0.000
F: 0.687 0.135 0.023
F: 0.477 0.663 0.112
F: 0.135 0.448 0.112
Rb: 0.125 0.875 0.750
F: 0.948 0.112 0.635
Rb: 0.125 0.250 0.875
F: 0.687 0.552 0.163
F: 0.337 0.523 0.388
F: 0.163 0.112 0.977
F: 0.612 0.977 0.663
Sm: 0.375 0.250 0.125
Sm: 0.500 0.000 0.000
Rb: 0.625 0.250 0.375
Sm: 0.500 0.500 0.500
Rb: 0.875 0.125 0.250
F: 0.365 0.388 0.052
Sm: 0.500 0.000 0.500
F: 0.813 0.337 0.948
F: 0.523 0.187 0.135
Sm: 0.000 0.000 0.500
Sm: 0.125 0.375 0.250
Sm: 0.750 0.625 0.375
F: 0.052 0.888 0.365
Sm: 0.000 0.500 0.500
F: 0.888 0.052 0.865
F: 0.448 0.135 0.612
F: 0.552 0.687 0.663
F: 0.365 0.977 0.813
F: 0.052 0.163 0.187
Sm: 0.625 0.750 0.875
Rb: 0.750 0.875 0.625
F: 0.813 0.477 0.365
F: 0.477 0.813 0.865
Sm: 0.250 0.375 0.625
Sm: 0.625 0.875 0.250
Rb: 0.250 0.125 0.375
Rb: 0.375 0.625 0.250
Sm: 0.125 0.750 0.375
Rb: 0.875 0.750 0.125
F: 0.023 0.388 0.837
F: 0.388 0.023 0.337
F: 0.313 0.865 0.977
F: 0.837 0.888 0.023
F: 0.023 0.635 0.687
F: 0.663 0.187 0.552
Sm: 0.875 0.250 0.625
F: 0.948 0.837 0.813
F: 0.112 0.163 0.477
F: 0.612 0.635 0.448
F: 0.865 0.552 0.888
F: 0.552 0.865 0.388
F: 0.977 0.612 0.163
Sm: 0.875 0.625 0.750
Rb: 0.625 0.375 0.750
Rb: 0.750 0.375 0.125
F: 0.163 0.052 0.687
F: 0.388 0.365 0.552
Sm: 0.000 0.500 0.000
Sm: 0.250 0.875 0.125
F: 0.977 0.365 0.313
F: 0.663 0.477 0.612
F: 0.187 0.663 0.052
F: 0.523 0.337 0.888
F: 0.448 0.313 0.337
F: 0.635 0.023 0.187
F: 0.135 0.687 0.523
Sm: 0.750 0.125 0.875
F: 0.635 0.612 0.948
Sm: 0.375 0.125 0.750
F: 0.837 0.948 0.313
F: 0.865 0.313 0.477
F: 0.337 0.813 0.448
F: 0.888 0.837 0.523
Sm: 0.500 0.500 0.000
F: 0.112 0.948 0.135


No. 17
Entry from Alexandria: PrSn3Hg after structural relaxation (PBE).

Results
Energy of formation from the pure elements ... 0.019 eV/atom
Density of states at the Fermi level ... 0.7970 states/eV per atom

Lattice parameters (Å, degrees): 6.583 6.429 6.394 120.19 106.72 54.59
Fractional coordinates of all 5 atoms:
Hg: 0.500 0.000 0.000
Sn: 0.000 0.500 0.000
Pr: 0.000 0.000 0.000
Sn: 0.000 0.000 0.500
Sn: 0.000 0.500 0.500


No. 18
Entry from Alexandria: ZnSiCl2 after structural relaxation (PBE).

Results
Energy relative to the elements, uncorrected ... 0.014 eV per atom
Density of states at the Fermi level ... 0.3072 states/eV per atom

Lattice parameters (Å, degrees): 3.342 3.342 9.193 90.00 90.00 118.12
Fractional coordinates of all 4 atoms:
Zn: 0.500 0.500 0.750
Cl: 0.000 0.000 0.048
Si: 0.500 0.500 0.250
Cl: 0.000 0.000 0.452